(1)
# BaNbPd2 | Alexandria via LeMat-Bulk | PBE-GGA | optimized geometry
data_BaNbPd2
_chemical_formula_sum 'Ba4 Nb4 Pd8'
_cell_length_a 7.780
_cell_length_b 7.780
_cell_length_c 6.944
_cell_angle_alpha 90.00
_cell_angle_beta 90.00
_cell_angle_gamma 90.00
_symmetry_space_group_name_H-M 'I -4 2 d'
_symmetry_Int_Tables_number 122
_symmetry_space_group_name_Hall 'I -4 2bw'
loop_
_atom_site_label
_atom_site_type_symbol
_atom_site_fract_x
_atom_site_fract_y
_atom_site_fract_z
Ba1 Ba 0.000 0.000 0.000
Nb1 Nb 0.000 0.000 0.500
Pd1 Pd 0.177 0.250 0.625
# **ΔH_f (0 K)**: 271 meV per atom
# **Total DFT energy (no corrections)**: -85.18 eV/cell
# **Theoretical density**: 7.00 g cm⁻³
# **N(E_F)**: 5.88 states/eV/f.u.
# **Excess energy over the best structure of this formula in the dataset**: 0 meV per atom

=====

(2)
# BaNbPd2 | Alexandria via LeMat-Bulk | PBE-GGA | optimized geometry
data_BaNbPd2
_chemical_formula_sum 'Ba4 Nb4 Pd8'
_cell_length_a 7.122
_cell_length_b 7.122
_cell_length_c 7.122
_cell_angle_alpha 90.00
_cell_angle_beta 90.00
_cell_angle_gamma 90.00
_symmetry_space_group_name_H-M 'F m -3 m'
_symmetry_Int_Tables_number 225
_symmetry_space_group_name_Hall '-F 4 2 3'
loop_
_atom_site_label
_atom_site_type_symbol
_atom_site_fract_x
_atom_site_fract_y
_atom_site_fract_z
Ba1 Ba 0.000 0.000 0.000
Nb1 Nb 0.000 0.000 0.500
Pd1 Pd 0.250 0.250 0.250
# **ΔH_f (0 K)**: 314 meV per atom
# **Total DFT energy (no corrections)**: -84.49 eV/cell
# **Theoretical density**: 8.15 g cm⁻³
# **N(E_F)**: 4.89 states/eV/f.u.
# **Excess energy over the best structure of this formula in the dataset**: 43 meV per atom

=====

(3)
# RbBa2NbPd | Alexandria via LeMat-Bulk | PBE-GGA | optimized geometry
data_RbBa2NbPd
_chemical_formula_sum 'Rb1 Ba2 Nb1 Pd1'
_cell_length_a 6.257
_cell_length_b 6.257
_cell_length_c 5.009
_cell_angle_alpha 90.00
_cell_angle_beta 90.00
_cell_angle_gamma 90.00
_symmetry_space_group_name_H-M 'P 4/m m m'
_symmetry_Int_Tables_number 123
_symmetry_space_group_name_Hall '-P 4 2'
loop_
_atom_site_label
_atom_site_type_symbol
_atom_site_fract_x
_atom_site_fract_y
_atom_site_fract_z
Rb1 Rb 0.000 0.000 0.000
Ba1 Ba 0.000 0.500 0.000
Nb1 Nb 0.000 0.000 0.500
Pd1 Pd 0.500 0.500 0.500
# **ΔH_f (0 K)**: 1621 meV per atom
# **Total DFT energy (no corrections)**: -11.97 eV/cell
# **Theoretical density**: 4.74 g cm⁻³
# **N(E_F)**: 4.26 states/eV/f.u.

=====

(4)
# BaNbPdS2 | Alexandria via LeMat-Bulk | PBE-GGA | optimized geometry
data_BaNbPdS2
_chemical_formula_sum 'Ba1 Nb1 Pd1 S2'
_cell_length_a 4.870
_cell_length_b 4.870
_cell_length_c 5.090
_cell_angle_alpha 90.00
_cell_angle_beta 90.00
_cell_angle_gamma 90.00
_symmetry_space_group_name_H-M 'P 4/m m m'
_symmetry_Int_Tables_number 123
_symmetry_space_group_name_Hall '-P 4 2'
loop_
_atom_site_label
_atom_site_type_symbol
_atom_site_fract_x
_atom_site_fract_y
_atom_site_fract_z
Ba1 Ba 0.000 0.000 0.000
Nb1 Nb 0.500 0.500 0.500
Pd1 Pd 0.500 0.500 0.000
S1 S 0.000 0.500 0.500
# **Total DFT energy (no corrections)**: -30.16 eV/cell
# **Theoretical density**: 5.51 g cm⁻³
# **N(E_F)**: 1.73 states/eV/f.u.
# **E_form (uncorrected)**: -0.944 eV/atom

=====

(5)
# BaNb2VPd | Alexandria via LeMat-Bulk | PBE-GGA | optimized geometry
data_BaNb2VPd
_chemical_formula_sum 'Ba1 Nb2 V1 Pd1'
_cell_length_a 4.614
_cell_length_b 4.614
_cell_length_c 6.159
_cell_angle_alpha 90.00
_cell_angle_beta 90.00
_cell_angle_gamma 90.00
_symmetry_space_group_name_H-M 'P 4/m m m'
_symmetry_Int_Tables_number 123
_symmetry_space_group_name_Hall '-P 4 2'
loop_
_atom_site_label
_atom_site_type_symbol
_atom_site_fract_x
_atom_site_fract_y
_atom_site_fract_z
Ba1 Ba 0.000 0.000 0.000
Nb1 Nb 0.000 0.500 0.500
V1 V 0.000 0.000 0.500
Pd1 Pd 0.500 0.500 0.000
# **ΔH_f (0 K)**: 1125 meV per atom
# **Total DFT energy (no corrections)**: -30.75 eV/cell
# **Theoretical density**: 6.09 g cm⁻³
# **N(E_F)**: 5.83 states/eV/f.u.

=====

(6)
# Ba2Nb2Pt | Alexandria via LeMat-Bulk | PBE-GGA | optimized geometry
data_Ba2Nb2Pt
_chemical_formula_sum 'Ba4 Nb4 Pt2'
_cell_length_a 3.761
_cell_length_b 3.761
_cell_length_c 21.193
_cell_angle_alpha 90.00
_cell_angle_beta 90.00
_cell_angle_gamma 90.00
_symmetry_space_group_name_H-M 'I 4/m m m'
_symmetry_Int_Tables_number 139
_symmetry_space_group_name_Hall '-I 4 2'
loop_
_atom_site_label
_atom_site_type_symbol
_atom_site_fract_x
_atom_site_fract_y
_atom_site_fract_z
Ba1 Ba 0.000 0.000 0.090
Nb1 Nb 0.000 0.500 0.250
Pt1 Pt 0.000 0.000 0.500
# **ΔH_f (0 K)**: 233 meV per atom
# **Total DFT energy (no corrections)**: -57.72 eV/cell
# **Theoretical density**: 7.26 g cm⁻³
# **N(E_F)**: 4.73 states/eV/f.u.
# **Excess energy over the best structure of this formula in the dataset**: 0 meV per atom

=====

(7)
# BaNbPt3 | Alexandria via LeMat-Bulk | PBE-GGA | optimized geometry
data_BaNbPt3
_chemical_formula_sum 'Ba1 Nb1 Pt3'
_cell_length_a 5.035
_cell_length_b 5.035
_cell_length_c 5.035
_cell_angle_alpha 90.00
_cell_angle_beta 90.00
_cell_angle_gamma 90.00
_symmetry_space_group_name_H-M 'P m -3 m'
_symmetry_Int_Tables_number 221
_symmetry_space_group_name_Hall '-P 4 2 3'
loop_
_atom_site_label
_atom_site_type_symbol
_atom_site_fract_x
_atom_site_fract_y
_atom_site_fract_z
Ba1 Ba 0.000 0.000 0.000
Nb1 Nb 0.500 0.500 0.500
Pt1 Pt 0.000 0.500 0.500
# **ΔH_f (0 K)**: -124 meV per atom
# **Total DFT energy (no corrections)**: -30.73 eV/cell
# **Theoretical density**: 10.61 g cm⁻³
# **N(E_F)**: 2.79 states/eV/f.u.
# **Excess energy over the best structure of this formula in the dataset**: 0 meV per atom

=====

(8)
# BaNbPt3 | Alexandria via LeMat-Bulk | PBE-GGA | optimized geometry
data_BaNbPt3
_chemical_formula_sum 'Ba1 Nb1 Pt3'
_cell_length_a 5.197
_cell_length_b 5.197
_cell_length_c 5.197
_cell_angle_alpha 90.00
_cell_angle_beta 90.00
_cell_angle_gamma 90.00
_symmetry_space_group_name_H-M 'P m -3 m'
_symmetry_Int_Tables_number 221
_symmetry_space_group_name_Hall '-P 4 2 3'
loop_
_atom_site_label
_atom_site_type_symbol
_atom_site_fract_x
_atom_site_fract_y
_atom_site_fract_z
Ba1 Ba 0.000 0.000 0.000
Nb1 Nb 0.500 0.500 0.500
Pt1 Pt 0.000 0.000 0.500
# **ΔH_f (0 K)**: 2093 meV per atom
# **Total DFT energy (no corrections)**: -19.65 eV/cell
# **Theoretical density**: 9.65 g cm⁻³
# **N(E_F)**: 18.21 states/eV/f.u.
# **Excess energy over the best structure of this formula in the dataset**: 2216 meV per atom

=====

(9)
# BaNbPt | Alexandria via LeMat-Bulk | PBE-GGA | optimized geometry
data_BaNbPt
_chemical_formula_sum 'Ba4 Nb4 Pt4'
_cell_length_a 5.153
_cell_length_b 5.210
_cell_length_c 11.913
_cell_angle_alpha 90.00
_cell_angle_beta 90.00
_cell_angle_gamma 90.00
_symmetry_space_group_name_H-M 'C m m m'
_symmetry_Int_Tables_number 65
_symmetry_space_group_name_Hall '-C 2 2'
loop_
_atom_site_label
_atom_site_type_symbol
_atom_site_fract_x
_atom_site_fract_y
_atom_site_fract_z
Ba1 Ba 0.000 0.000 0.162
Nb1 Nb 0.000 0.500 0.403
Pt1 Pt 0.000 0.000 0.500
Pt2 Pt 0.000 0.500 0.000
# **ΔH_f (0 K)**: -21 meV per atom
# **Total DFT energy (no corrections)**: -72.39 eV/cell
# **Theoretical density**: 8.83 g cm⁻³
# **N(E_F)**: 3.04 states/eV/f.u.

=====

(10)
# Ba2Nb2Pt | Alexandria via LeMat-Bulk | PBE-GGA | optimized geometry
data_Ba2Nb2Pt
_chemical_formula_sum 'Ba4 Nb4 Pt2'
_cell_length_a 9.572
_cell_length_b 9.572
_cell_length_c 3.591
_cell_angle_alpha 90.00
_cell_angle_beta 90.00
_cell_angle_gamma 90.00
_symmetry_space_group_name_H-M 'P 4/m b m'
_symmetry_Int_Tables_number 127
_symmetry_space_group_name_Hall '-P 4 2ab'
loop_
_atom_site_label
_atom_site_type_symbol
_atom_site_fract_x
_atom_site_fract_y
_atom_site_fract_z
Ba1 Ba 0.211 0.289 0.000
Nb1 Nb 0.080 0.580 0.500
Pt1 Pt 0.000 0.000 0.000
# **ΔH_f (0 K)**: 1043 meV per atom
# **Total DFT energy (no corrections)**: -49.62 eV/cell
# **Theoretical density**: 6.62 g cm⁻³
# **N(E_F)**: 4.04 states/eV/f.u.
# **Excess energy over the best structure of this formula in the dataset**: 810 meV per atom

=====

(11)
# Ba2NbPtS | Alexandria via LeMat-Bulk | PBE-GGA | optimized geometry
data_Ba2NbPtS
_chemical_formula_sum 'Ba2 Nb1 Pt1 S1'
_cell_length_a 6.042
_cell_length_b 6.042
_cell_length_c 4.599
_cell_angle_alpha 90.00
_cell_angle_beta 90.00
_cell_angle_gamma 90.00
_symmetry_space_group_name_H-M 'P 4/m m m'
_symmetry_Int_Tables_number 123
_symmetry_space_group_name_Hall '-P 4 2'
loop_
_atom_site_label
_atom_site_type_symbol
_atom_site_fract_x
_atom_site_fract_y
_atom_site_fract_z
Ba1 Ba 0.000 0.500 0.000
Nb1 Nb 0.000 0.000 0.000
Pt1 Pt 0.500 0.500 0.500
S1 S 0.000 0.000 0.500
# **Total DFT energy (no corrections)**: -23.60 eV/cell
# **Theoretical density**: 5.88 g cm⁻³
# **N(E_F)**: 4.03 states/eV/f.u.
# **E_form (uncorrected)**: 0.097 eV/atom

=====

(12)
# BaNb2PtS | Alexandria via LeMat-Bulk | PBE-GGA | optimized geometry
data_BaNb2PtS
_chemical_formula_sum 'Ba1 Nb2 Pt1 S1'
_cell_length_a 5.172
_cell_length_b 5.172
_cell_length_c 5.190
_cell_angle_alpha 90.00
_cell_angle_beta 90.00
_cell_angle_gamma 90.00
_symmetry_space_group_name_H-M 'P 4/m m m'
_symmetry_Int_Tables_number 123
_symmetry_space_group_name_Hall '-P 4 2'
loop_
_atom_site_label
_atom_site_type_symbol
_atom_site_fract_x
_atom_site_fract_y
_atom_site_fract_z
Ba1 Ba 0.000 0.000 0.000
Nb1 Nb 0.000 0.500 0.000
Pt1 Pt 0.500 0.500 0.500
S1 S 0.000 0.000 0.500
# **Total DFT energy (no corrections)**: -19.80 eV/cell
# **Theoretical density**: 6.58 g cm⁻³
# **N(E_F)**: 5.33 states/eV/f.u.
# **E_form (uncorrected)**: 2.487 eV/atom